# 1
This record from Alexandria describes an optimized crystal structure of Cs2BeSeS. The functional is GGA-PBE.

```
data_Cs2BeSeS
_cell_length_a 7.915
_cell_length_b 3.995
_cell_length_c 11.569
_cell_angle_alpha 90.00
_cell_angle_beta 109.77
_cell_angle_gamma 90.00
_symmetry_space_group_name_H-M 'P 1 21/m 1'
_symmetry_Int_Tables_number 11
loop_
_symmetry_equiv_pos_as_xyz
'x,y,z'
'-x,-y,-z'
'-x,y+1/2,-z'
'x,-y+1/2,z'
loop_
_atom_site_label
_atom_site_type_symbol
_atom_site_fract_x
_atom_site_fract_y
_atom_site_fract_z
Cs1 Cs 0.218 0.250 0.404
Cs2 Cs 0.274 0.750 0.051
Be1 Be 0.235 0.250 0.744
Se1 Se 0.352 0.750 0.702
S1 S 0.046 0.250 0.815
```

=====

# 2
This record from Alexandria describes an optimized crystal structure of CsSmBeS3. The functional is GGA-PBE.

```
data_CsSmBeS3
_cell_length_a 9.538
_cell_length_b 3.980
_cell_length_c 9.672
_cell_angle_alpha 90.00
_cell_angle_beta 111.35
_cell_angle_gamma 90.00
_symmetry_space_group_name_H-M 'P 1 21/m 1'
_symmetry_Int_Tables_number 11
loop_
_symmetry_equiv_pos_as_xyz
'x,y,z'
'-x,-y,-z'
'-x,y+1/2,-z'
'x,-y+1/2,z'
loop_
_atom_site_label
_atom_site_type_symbol
_atom_site_fract_x
_atom_site_fract_y
_atom_site_fract_z
Cs1 Cs 0.240 0.250 0.206
Sm1 Sm 0.151 0.250 0.667
Be1 Be 0.394 0.750 0.927
S1 S 0.160 0.750 0.470
S2 S 0.165 0.750 0.876
S3 S 0.466 0.250 0.848
```

=====

# 3
This record from Alexandria describes an optimized crystal structure of Cs2SrBe2S4. The functional is GGA-PBE.

```
data_Cs2SrBe2S4
_cell_length_a 15.509
_cell_length_b 3.964
_cell_length_c 8.308
_cell_angle_alpha 90.00
_cell_angle_beta 111.67
_cell_angle_gamma 90.00
_symmetry_space_group_name_H-M 'C 1 2/m 1'
_symmetry_Int_Tables_number 12
loop_
_symmetry_equiv_pos_as_xyz
'x,y,z'
'-x,-y,-z'
'-x,y,-z'
'x,-y,z'
'x+1/2,y+1/2,z'
'-x+1/2,-y+1/2,-z'
'-x+1/2,y+1/2,-z'
'x+1/2,-y+1/2,z'
loop_
_atom_site_label
_atom_site_type_symbol
_atom_site_fract_x
_atom_site_fract_y
_atom_site_fract_z
Cs1 Cs 0.133 0.000 0.046
Sr1 Sr 0.000 0.000 0.500
Be1 Be 0.177 0.500 0.461
S1 S 0.043 0.500 0.281
S2 S 0.209 0.000 0.622
```

=====

# 4
This record from Alexandria describes an optimized crystal structure of Cs2TbBe2S4. The functional is GGA-PBE.

```
data_Cs2TbBe2S4
_cell_length_a 14.715
_cell_length_b 3.788
_cell_length_c 8.282
_cell_angle_alpha 90.00
_cell_angle_beta 109.57
_cell_angle_gamma 90.00
_symmetry_space_group_name_H-M 'C 1 2/m 1'
_symmetry_Int_Tables_number 12
loop_
_symmetry_equiv_pos_as_xyz
'x,y,z'
'-x,-y,-z'
'-x,y,-z'
'x,-y,z'
'x+1/2,y+1/2,z'
'-x+1/2,-y+1/2,-z'
'-x+1/2,y+1/2,-z'
'x+1/2,-y+1/2,z'
loop_
_atom_site_label
_atom_site_type_symbol
_atom_site_fract_x
_atom_site_fract_y
_atom_site_fract_z
Cs1 Cs 0.134 0.000 0.041
Tb1 Tb 0.000 0.000 0.500
Be1 Be 0.173 0.500 0.473
S1 S 0.038 0.500 0.284
S2 S 0.203 0.000 0.625
```

=====

# 5
This record from Alexandria describes an optimized crystal structure of CsThBeS4. The functional is GGA-PBE.

```
data_CsThBeS4
_cell_length_a 6.853
_cell_length_b 5.641
_cell_length_c 9.811
_cell_angle_alpha 90.00
_cell_angle_beta 103.53
_cell_angle_gamma 90.00
_symmetry_space_group_name_H-M 'P 1 21/m 1'
_symmetry_Int_Tables_number 11
loop_
_symmetry_equiv_pos_as_xyz
'x,y,z'
'-x,-y,-z'
'-x,y+1/2,-z'
'x,-y+1/2,z'
loop_
_atom_site_label
_atom_site_type_symbol
_atom_site_fract_x
_atom_site_fract_y
_atom_site_fract_z
Cs1 Cs 0.248 0.250 0.038
Th1 Th 0.261 0.250 0.555
Be1 Be 0.254 0.750 0.339
S1 S 0.014 0.004 0.308
S2 S 0.393 0.750 0.555
S3 S 0.445 0.750 0.206
```

=====

# 6
This record from Alexandria describes an optimized crystal structure of Cs2TiBeS4. The functional is GGA-PBE.

```
data_Cs2TiBeS4
_cell_length_a 5.508
_cell_length_b 14.282
_cell_length_c 25.346
_cell_angle_alpha 90.00
_cell_angle_beta 90.00
_cell_angle_gamma 90.00
_symmetry_space_group_name_H-M 'F d d d'
_symmetry_Int_Tables_number 70
loop_
_symmetry_equiv_pos_as_xyz
'x,y,z'
'-x,-y,-z'
'-x+1/4,-y+1/4,z'
'x+1/4,y+1/4,-z'
'x,-y+1/4,-z+1/4'
'-x,y+1/4,z+1/4'
'-x+1/4,y,-z+1/4'
'x+1/4,-y,z+1/4'
'x,y+1/2,z+1/2'
'-x,-y+1/2,-z+1/2'
'-x+1/4,-y+3/4,z+1/2'
'x+1/4,y+3/4,-z+1/2'
'x,-y+3/4,-z+3/4'
'-x,y+3/4,z+3/4'
'-x+1/4,y+1/2,-z+3/4'
'x+1/4,-y+1/2,z+3/4'
'x+1/2,y,z+1/2'
'-x+1/2,-y,-z+1/2'
'-x+3/4,-y+1/4,z+1/2'
'x+3/4,y+1/4,-z+1/2'
'x+1/2,-y+1/4,-z+3/4'
'-x+1/2,y+1/4,z+3/4'
'-x+3/4,y,-z+3/4'
'x+3/4,-y,z+3/4'
'x+1/2,y+1/2,z'
'-x+1/2,-y+1/2,-z'
'-x+3/4,-y+3/4,z'
'x+3/4,y+3/4,-z'
'x+1/2,-y+3/4,-z+1/4'
'-x+1/2,y+3/4,z+1/4'
'-x+3/4,y+1/2,-z+1/4'
'x+3/4,-y+1/2,z+1/4'
loop_
_atom_site_label
_atom_site_type_symbol
_atom_site_fract_x
_atom_site_fract_y
_atom_site_fract_z
Cs1 Cs 0.125 0.125 0.301
Ti1 Ti 0.125 0.125 0.125
Be1 Be 0.125 0.125 0.625
S1 S 0.110 0.289 0.827
```

=====

# 7
This record from Alexandria describes an optimized crystal structure of CsBeTlS2. The functional is GGA-PBE.

```
data_CsBeTlS2
_cell_length_a 7.626
_cell_length_b 5.091
_cell_length_c 8.923
_cell_angle_alpha 90.00
_cell_angle_beta 93.16
_cell_angle_gamma 90.00
_symmetry_space_group_name_H-M 'P 1 2/c 1'
_symmetry_Int_Tables_number 13
loop_
_symmetry_equiv_pos_as_xyz
'x,y,z'
'-x,-y,-z'
'-x,y,-z+1/2'
'x,-y,z+1/2'
loop_
_atom_site_label
_atom_site_type_symbol
_atom_site_fract_x
_atom_site_fract_y
_atom_site_fract_z
Cs1 Cs 0.000 0.229 0.250
Be1 Be 0.500 0.500 0.000
Tl1 Tl 0.500 0.043 0.250
S1 S 0.290 0.325 0.938
```

=====

# 8
This record from Alexandria describes an optimized crystal structure of Cs2TmBe2S4. The functional is GGA-PBE.

```
data_Cs2TmBe2S4
_cell_length_a 14.484
_cell_length_b 3.786
_cell_length_c 8.205
_cell_angle_alpha 90.00
_cell_angle_beta 108.73
_cell_angle_gamma 90.00
_symmetry_space_group_name_H-M 'C 1 2/m 1'
_symmetry_Int_Tables_number 12
loop_
_symmetry_equiv_pos_as_xyz
'x,y,z'
'-x,-y,-z'
'-x,y,-z'
'x,-y,z'
'x+1/2,y+1/2,z'
'-x+1/2,-y+1/2,-z'
'-x+1/2,y+1/2,-z'
'x+1/2,-y+1/2,z'
loop_
_atom_site_label
_atom_site_type_symbol
_atom_site_fract_x
_atom_site_fract_y
_atom_site_fract_z
Cs1 Cs 0.134 0.000 0.040
Tm1 Tm 0.000 0.000 0.500
Be1 Be 0.173 0.500 0.476
S1 S 0.036 0.500 0.289
S2 S 0.202 0.000 0.627
```

=====

Uncorrected energy / hartree per atom: -0.1317 -0.1891 -0.1589 -0.1676 -0.2016 -0.1862 -0.1388 -0.1666
Spin magnetization / μB/atom: 0.00 0.00 0.00 0.00 0.00 0.00 0.00 0.00